Entry 1:
Entry from Alexandria: a relaxed YRe2Cl crystal (PBE).

abc: 5.0134 11.0369 2.8210
angles: 90.00 90.00 90.00
Closest atoms and distances in Å follow each position.
Space group Cmmm (No. 65)
Inequivalent atoms, fractional coordinates:
Y 0.0000 0.0000 0.0000 [2 per cell]  2 Cl 2.51
Re 0.2500 0.2500 0.5000 [4 per cell]  2 Re 2.51
Cl 0.0000 0.5000 0.0000 [2 per cell]  2 Y 2.51

Summary:
crystal system	orthorhombic
raw total energy	-0.55796	Ry per atom
total magnetic moment	0.00	μB/cell
E_form (uncorrected)	68.5	kJ per mole of atoms

Entry 2:
Entry from Alexandria: a relaxed Cs2NdI4 crystal (PBE).

abc: 6.2267 6.2267 19.4443
angles: 90.00 90.00 90.00
Closest atoms and distances in Å follow each position.
Space group I4/mmm (No. 139)
Inequivalent atoms, fractional coordinates:
Cs 0.0000 0.0000 0.1379 [4 per cell]  5 I 3.84-4.11
Nd 0.0000 0.0000 0.5000 [2 per cell]  6 I 3.11-3.20
I 0.0000 0.0000 0.3352 [4 per cell]  1 Nd 3.20
I 0.0000 0.5000 0.0000 [4 per cell]  2 Nd 3.11

Summary:
crystal system	tetragonal
raw total energy	-0.23395	Ry per atom
total magnetic moment	1.13	μB/cell
E_form (uncorrected)	-132.4	kJ per mole of atoms

Entry 3:
Entry from Alexandria: a relaxed Cs2PtI crystal (PBE).

abc: 7.6098 7.6098 16.6694
angles: 90.00 90.00 90.00
Closest atoms and distances in Å follow each position.
Space group I-42d (No. 122)
Inequivalent atoms, fractional coordinates:
Cs 0.1640 0.2500 0.1250 [8 per cell]  2 Pt 3.09
Pt 0.0000 0.0000 0.0000 [4 per cell]  4 Cs 3.09
I 0.0000 0.0000 0.5000 [4 per cell]  4 Cs 3.81

Summary:
crystal system	tetragonal
raw total energy	-0.18387	Ry per atom
total magnetic moment	0.00	μB/cell
E_form (uncorrected)	-17.1	kJ per mole of atoms